(1)
Hf2TiZnPd: optimized geometry, PBE.

The value obtained for the formation energy from the elements is 0.68 eV/atom. As for the density: 8.71 g/cm3.

Lattice parameters (Å, degrees): 4.925 4.925 4.531 90.00 90.00 90.00
Space group P4/mmm (No. 123)
Asymmetric unit:
Hf (0.000, 0.500, 0.000) [2 per cell]
Ti (0.000, 0.000, 0.500) [1 per cell]
Zn (0.500, 0.500, 0.000) [1 per cell]
Pd (0.500, 0.500, 0.500) [1 per cell]


(2)
YRhF3: optimized geometry, PBE.

As for the polymorph energy (0 for the lowest one): 906 meV/atom. The value obtained for the uncorrected formation energy is -1.33 eV/atom. As for the density: 5.16 g/cm3.

Lattice parameters (Å, degrees): 4.311 4.311 4.311 90.00 90.00 90.00
Space group Pm-3m (No. 221)
Asymmetric unit:
Y (0.000, 0.000, 0.000) [1 per cell]
Rh (0.500, 0.500, 0.500) [1 per cell]
F (0.000, 0.500, 0.500) [3 per cell]


(3)
SrCe2P2N6: optimized geometry, PBE.

The value obtained for the uncorrected formation energy is -0.99 eV/atom. As for the density: 5.01 g/cm3.

Lattice parameters (Å, degrees): 5.901 5.954 6.259 115.59 92.23 116.41
Space group P-1 (No. 2)
Asymmetric unit:
Sr (0.000, 0.000, 0.000) [1 per cell]
Ce (0.290, 0.429, 0.701) [2 per cell]
P (0.356, 0.806, 0.329) [2 per cell]
N (0.115, 0.864, 0.299) [2 per cell]
N (0.292, 0.536, 0.383) [2 per cell]
N (0.484, 0.222, 0.883) [2 per cell]


(4)
Sr3SiPb: optimized geometry, PBE.

As for the polymorph energy (0 for the lowest one): 0 meV/atom. The value obtained for the uncorrected formation energy is -0.17 eV/atom. As for the density: 3.86 g/cm3.

Lattice parameters (Å, degrees): 5.982 5.982 5.982 90.00 90.00 90.00
Space group Pm-3m (No. 221)
Asymmetric unit:
Sr (0.000, 0.000, 0.500) [3 per cell]
Si (0.000, 0.000, 0.000) [1 per cell]
Pb (0.500, 0.500, 0.500) [1 per cell]


(5)
La4NdSm15: optimized geometry, PBE.

The value obtained for the formation energy from the elements is 0.02 eV/atom. As for the density: 7.09 g/cm3.

Lattice parameters (Å, degrees): 5.180 5.180 25.804 90.00 90.00 90.00
Space group P4/mmm (No. 123)
Asymmetric unit:
La (0.000, 0.000, 0.100) [2 per cell]
La (0.000, 0.000, 0.300) [2 per cell]
Nd (0.000, 0.000, 0.500) [1 per cell]
Sm (0.000, 0.500, 0.000) [2 per cell]
Sm (0.000, 0.500, 0.200) [4 per cell]
Sm (0.000, 0.500, 0.401) [4 per cell]
Sm (0.500, 0.500, 0.100) [2 per cell]
Sm (0.500, 0.500, 0.301) [2 per cell]
Sm (0.500, 0.500, 0.500) [1 per cell]


(6)
Co2NiPb: optimized geometry, PBE.

The value obtained for the formation energy from the elements is 0.37 eV/atom. As for the density: 11.58 g/cm3.

Lattice parameters (Å, degrees): 3.868 3.868 7.352 90.00 90.00 90.00
Space group I4/mmm (No. 139)
Asymmetric unit:
Co (0.000, 0.500, 0.250) [4 per cell]
Ni (0.000, 0.000, 0.000) [2 per cell]
Pb (0.000, 0.000, 0.500) [2 per cell]


(7)
Ba2LaAl: optimized geometry, PBE.

The value obtained for the formation energy from the elements is 0.22 eV/atom. As for the density: 4.33 g/cm3.

Lattice parameters (Å, degrees): 3.9903 3.9903 36.7687 90.00 90.00 120.00
Space group R-3m (No. 166, hexagonal axes)
Asymmetric unit:
Ba (0.0000, 0.0000, 0.2380) [6 per cell]
La (0.0000, 0.0000, 0.0000) [3 per cell]
Al (0.0000, 0.0000, 0.5000) [3 per cell]


(8)
Sr2Zn3: optimized geometry, PBE.

The value obtained for the formation energy from the elements is -0.20 eV/atom. As for the density: 4.65 g/cm3.

Lattice parameters (Å, degrees): 5.607 11.041 8.577 90.00 90.00 90.00
Space group Cmce (No. 64)
Asymmetric unit:
Sr (0.000, 0.162, 0.097) [8 per cell]
Zn (0.000, 0.000, 0.500) [4 per cell]
Zn (0.250, 0.086, 0.750) [8 per cell]